Below is a relaxed structure of Zr2Al8Si, with properties calculated at the GGA-PBE level.

a b c (Å): 4.0238 4.0238 12.1639
angles (deg): 90.00 90.00 90.00
With the nearest neighbours (Å) after each atom.
Fractional coordinates of all 11 atoms:
Al 0.0000 0.5000 0.5000  8 Al 2.85-2.97, 4 Zr 2.85
Al 0.5000 0.0000 0.5000  8 Al 2.85-2.97, 4 Zr 2.85
Al 0.5000 0.5000 0.3201  4 Zr 2.85, 8 Al 2.90-2.97
Al 0.5000 0.5000 0.6799  4 Zr 2.85, 8 Al 2.90-2.97
Al 0.0000 0.5000 0.1484  2 Si 2.70, 6 Al 2.85-2.90, 2 Zr 3.02
Al 0.5000 0.0000 0.1484  2 Si 2.70, 6 Al 2.85-2.90, 2 Zr 3.02
Al 0.0000 0.5000 0.8516  2 Si 2.70, 6 Al 2.85-2.90, 2 Zr 3.02
Al 0.5000 0.0000 0.8516  2 Si 2.70, 6 Al 2.85-2.90, 2 Zr 3.02
Si 0.0000 0.0000 0.0000  8 Al 2.70
Zr 0.0000 0.0000 0.3340  12 Al 2.85-3.02
Zr 0.0000 0.0000 0.6660  12 Al 2.85-3.02

Computed properties:
SG = P4/mmm
size of the total moment = 0.0 μB per formula unit
formation energy from raw total energies = -234 meV per atom
VASP energy = -55.04 eV/cell
volume = 196.9 Å³/cell
crystal system = tetragonal